(1)
# UCoC2 (GGA-PBE, optimized geometry)
# spin magnetization = 0.13 μB per atom
# final energy = -75.0 eV/cell
data_UCoC2
_symmetry_space_group_name_H-M 'P 4/n m m'
_symmetry_Int_Tables_number 129
_cell_length_a 3.470
_cell_length_b 3.470
_cell_length_c 7.268
_cell_angle_alpha 90.00
_cell_angle_beta 90.00
_cell_angle_gamma 90.00
loop_
_symmetry_equiv_pos_as_xyz
'x,y,z'
'-x,-y,-z'
'-y+1/2,x,z'
'y+1/2,-x,-z'
'-x+1/2,-y+1/2,z'
'x+1/2,y+1/2,-z'
'y,-x+1/2,z'
'-y,x+1/2,-z'
'x+1/2,-y,-z'
'-x+1/2,y,z'
'-y,-x,-z'
'y,x,z'
'-x,y+1/2,-z'
'x,-y+1/2,z'
'y+1/2,x+1/2,-z'
'-y+1/2,-x+1/2,z'
loop_
_atom_site_label
_atom_site_type_symbol
_atom_site_fract_x
_atom_site_fract_y
_atom_site_fract_z
U1 U 0.250 0.250 0.181
Co1 Co 0.250 0.750 0.500
C1 C 0.250 0.250 0.657
C2 C 0.250 0.250 0.860

=====

(2)
# Ac3Zn4Pd4 (GGA-PBE, optimized geometry)
# spin magnetization = 0.00 μB per atom
# calculated formation energy = -0.67 eV/atom
# final energy = -90.8 eV/cell
data_Ac3Zn4Pd4
_symmetry_space_group_name_H-M 'C 1 2/m 1'
_symmetry_Int_Tables_number 12
_cell_length_a 27.452
_cell_length_b 4.222
_cell_length_c 4.425
_cell_angle_alpha 90.00
_cell_angle_beta 99.08
_cell_angle_gamma 90.00
loop_
_symmetry_equiv_pos_as_xyz
'x,y,z'
'-x,-y,-z'
'-x,y,-z'
'x,-y,z'
'x+1/2,y+1/2,z'
'-x+1/2,-y+1/2,-z'
'-x+1/2,y+1/2,-z'
'x+1/2,-y+1/2,z'
loop_
_atom_site_label
_atom_site_type_symbol
_atom_site_fract_x
_atom_site_fract_y
_atom_site_fract_z
Ac1 Ac 0.000 0.000 0.000
Ac2 Ac 0.148 0.000 0.649
Zn1 Zn 0.099 0.500 0.100
Zn2 Zn 0.249 0.500 0.747
Pd1 Pd 0.052 0.500 0.554
Pd2 Pd 0.195 0.500 0.194

=====

(3)
# Al5Re7 (GGA-PBE, optimized geometry)
# spin magnetization = 0.00 μB per atom
# energy above the lowest structure with this stoichiometry = 109 meV per atom
# final energy = -206.4 eV/cell
data_Al5Re7
_symmetry_space_group_name_H-M 'P 63/m m c'
_symmetry_Int_Tables_number 194
_symmetry_space_group_name_Hall '-P 6c 2c'
_cell_length_a 5.0021
_cell_length_b 5.0021
_cell_length_c 17.3309
_cell_angle_alpha 90.00
_cell_angle_beta 90.00
_cell_angle_gamma 120.00
loop_
_atom_site_label
_atom_site_type_symbol
_atom_site_fract_x
_atom_site_fract_y
_atom_site_fract_z
Al1 Al 0.0000 0.0000 0.0900
Al2 Al 0.1642 0.3285 0.2500
Re1 Re 0.0000 0.5000 0.0000
Re2 Re 0.3333 0.6667 0.1281
Re3 Re 0.3333 0.6667 0.6400

=====

(4)
# P2OsO7 (GGA-PBE, optimized geometry)
# spin magnetization = 0.20 μB per atom
# final energy = -146.1 eV/cell
data_P2OsO7
_symmetry_space_group_name_H-M 'C 1 2 1'
_symmetry_Int_Tables_number 5
_cell_length_a 6.556
_cell_length_b 7.904
_cell_length_c 4.540
_cell_angle_alpha 90.00
_cell_angle_beta 102.10
_cell_angle_gamma 90.00
loop_
_symmetry_equiv_pos_as_xyz
'x,y,z'
'-x,y,-z'
'x+1/2,y+1/2,z'
'-x+1/2,y+1/2,-z'
loop_
_atom_site_label
_atom_site_type_symbol
_atom_site_fract_x
_atom_site_fract_y
_atom_site_fract_z
P1 P 0.203 0.000 0.414
Os1 Os 0.000 0.349 0.000
O1 O 0.000 0.918 0.500
O2 O 0.136 0.526 0.290
O3 O 0.154 0.173 0.276
O4 O 0.243 0.366 0.802

=====

(5)
# Zr2TaAl (GGA-PBE, optimized geometry)
# spin magnetization = 0.02 μB per atom
# final energy = -130.9 eV/cell
data_Zr2TaAl
_symmetry_space_group_name_H-M 'F -4 3 m'
_symmetry_Int_Tables_number 216
_symmetry_space_group_name_Hall 'F -4 2 3'
_cell_length_a 6.803
_cell_length_b 6.803
_cell_length_c 6.803
_cell_angle_alpha 90.00
_cell_angle_beta 90.00
_cell_angle_gamma 90.00
loop_
_atom_site_label
_atom_site_type_symbol
_atom_site_fract_x
_atom_site_fract_y
_atom_site_fract_z
Zr1 Zr 0.000 0.000 0.000
Zr2 Zr 0.250 0.250 0.250
Ta1 Ta 0.250 0.250 0.750
Al1 Al 0.000 0.000 0.500

=====

(6)
# HfSi2Te (GGA-PBE, optimized geometry)
# spin magnetization = 0.00 μB per atom
# final energy = -90.1 eV/cell
data_HfSi2Te
_symmetry_space_group_name_H-M 'F -4 3 m'
_symmetry_Int_Tables_number 216
_symmetry_space_group_name_Hall 'F -4 2 3'
_cell_length_a 6.848
_cell_length_b 6.848
_cell_length_c 6.848
_cell_angle_alpha 90.00
_cell_angle_beta 90.00
_cell_angle_gamma 90.00
loop_
_atom_site_label
_atom_site_type_symbol
_atom_site_fract_x
_atom_site_fract_y
_atom_site_fract_z
Hf1 Hf 0.000 0.000 0.000
Si1 Si 0.000 0.000 0.500
Si2 Si 0.250 0.250 0.250
Te1 Te 0.250 0.250 0.750

=====

(7)
# Y3Er2Lu2Ni2Te2 (GGA-PBE, optimized geometry)
# spin magnetization = 0.00 μB per atom
# energy above the lowest structure with this stoichiometry = 21 meV per atom
# final energy = -124.8 eV/cell
data_Y3Er2Lu2Ni2Te2
_symmetry_space_group_name_H-M 'I m m 2'
_symmetry_Int_Tables_number 44
_cell_length_a 3.833
_cell_length_b 15.469
_cell_length_c 9.528
_cell_angle_alpha 90.00
_cell_angle_beta 90.00
_cell_angle_gamma 90.00
loop_
_symmetry_equiv_pos_as_xyz
'x,y,z'
'-x,-y,z'
'-x,y,z'
'x,-y,z'
'x+1/2,y+1/2,z+1/2'
'-x+1/2,-y+1/2,z+1/2'
'-x+1/2,y+1/2,z+1/2'
'x+1/2,-y+1/2,z+1/2'
loop_
_atom_site_label
_atom_site_type_symbol
_atom_site_fract_x
_atom_site_fract_y
_atom_site_fract_z
Y1 Y 0.000 0.000 0.000
Y2 Y 0.000 0.314 0.623
Er1 Er 0.000 0.133 0.420
Lu1 Lu 0.000 0.352 0.273
Ni1 Ni 0.000 0.238 0.926
Te1 Te 0.000 0.000 0.666
Te2 Te 0.000 0.500 0.768

=====

(8)
# RbNbAsO (GGA-PBE, optimized geometry)
# spin magnetization = 0.14 μB per atom
# energy above the lowest structure with this stoichiometry = 100 meV per atom
# final energy = -49.0 eV/cell
data_RbNbAsO
_symmetry_space_group_name_H-M 'P m c 21'
_symmetry_Int_Tables_number 26
_cell_length_a 3.537
_cell_length_b 7.266
_cell_length_c 7.908
_cell_angle_alpha 90.00
_cell_angle_beta 90.00
_cell_angle_gamma 90.00
loop_
_symmetry_equiv_pos_as_xyz
'x,y,z'
'-x,-y,z+1/2'
'-x,y,z'
'x,-y,z+1/2'
loop_
_atom_site_label
_atom_site_type_symbol
_atom_site_fract_x
_atom_site_fract_y
_atom_site_fract_z
Rb1 Rb 0.000 0.193 0.000
Nb1 Nb 0.500 0.307 0.420
As1 As 0.500 0.452 0.703
O1 O 0.000 0.183 0.386

=====

(9)
# Gd2HoSe3 (GGA-PBE, optimized geometry)
# spin magnetization = 0.00 μB per atom
# final energy = -35.0 eV/cell
data_Gd2HoSe3
_symmetry_space_group_name_H-M 'P -3 m 1'
_symmetry_Int_Tables_number 164
_symmetry_space_group_name_Hall '-P 3 2"'
_cell_length_a 4.0800
_cell_length_b 4.0800
_cell_length_c 10.0475
_cell_angle_alpha 90.00
_cell_angle_beta 90.00
_cell_angle_gamma 120.00
loop_
_atom_site_label
_atom_site_type_symbol
_atom_site_fract_x
_atom_site_fract_y
_atom_site_fract_z
Gd1 Gd 0.3333 0.6667 0.1672
Ho1 Ho 0.0000 0.0000 0.5000
Se1 Se 0.0000 0.0000 0.0000
Se2 Se 0.3333 0.6667 0.6618

=====

(10)
# LiLuSiPt (GGA-PBE, optimized geometry)
# spin magnetization = 0.00 μB per atom
# energy above the lowest structure with this stoichiometry = 217 meV per atom
# final energy = -81.8 eV/cell
data_LiLuSiPt
_symmetry_space_group_name_H-M 'F -4 3 m'
_symmetry_Int_Tables_number 216
_symmetry_space_group_name_Hall 'F -4 2 3'
_cell_length_a 6.516
_cell_length_b 6.516
_cell_length_c 6.516
_cell_angle_alpha 90.00
_cell_angle_beta 90.00
_cell_angle_gamma 90.00
loop_
_atom_site_label
_atom_site_type_symbol
_atom_site_fract_x
_atom_site_fract_y
_atom_site_fract_z
Li1 Li 0.000 0.000 0.000
Lu1 Lu 0.000 0.000 0.500
Si1 Si 0.250 0.250 0.750
Pt1 Pt 0.250 0.250 0.250

=====

(11)
# Lu2ScGa (GGA-PBE, optimized geometry)
# spin magnetization = 0.20 μB per atom
# final energy = -75.0 eV/cell
data_Lu2ScGa
_symmetry_space_group_name_H-M 'F -4 3 m'
_symmetry_Int_Tables_number 216
_symmetry_space_group_name_Hall 'F -4 2 3'
_cell_length_a 7.218
_cell_length_b 7.218
_cell_length_c 7.218
_cell_angle_alpha 90.00
_cell_angle_beta 90.00
_cell_angle_gamma 90.00
loop_
_atom_site_label
_atom_site_type_symbol
_atom_site_fract_x
_atom_site_fract_y
_atom_site_fract_z
Lu1 Lu 0.000 0.000 0.000
Lu2 Lu 0.250 0.250 0.250
Sc1 Sc 0.250 0.250 0.750
Ga1 Ga 0.000 0.000 0.500

=====

(12)
# HfAlSn2 (GGA-PBE, optimized geometry)
# spin magnetization = 0.01 μB per atom
# final energy = -82.4 eV/cell
data_HfAlSn2
_symmetry_space_group_name_H-M 'F -4 3 m'
_symmetry_Int_Tables_number 216
_symmetry_space_group_name_Hall 'F -4 2 3'
_cell_length_a 7.172
_cell_length_b 7.172
_cell_length_c 7.172
_cell_angle_alpha 90.00
_cell_angle_beta 90.00
_cell_angle_gamma 90.00
loop_
_atom_site_label
_atom_site_type_symbol
_atom_site_fract_x
_atom_site_fract_y
_atom_site_fract_z
Hf1 Hf 0.000 0.000 0.000
Al1 Al 0.250 0.250 0.750
Sn1 Sn 0.000 0.000 0.500
Sn2 Sn 0.250 0.250 0.250

=====

(13)
# ZnInMo2 (GGA-PBE, optimized geometry)
# spin magnetization = 0.00 μB per atom
# final energy = -97.4 eV/cell
data_ZnInMo2
_symmetry_space_group_name_H-M 'F -4 3 m'
_symmetry_Int_Tables_number 216
_symmetry_space_group_name_Hall 'F -4 2 3'
_cell_length_a 6.439
_cell_length_b 6.439
_cell_length_c 6.439
_cell_angle_alpha 90.00
_cell_angle_beta 90.00
_cell_angle_gamma 90.00
loop_
_atom_site_label
_atom_site_type_symbol
_atom_site_fract_x
_atom_site_fract_y
_atom_site_fract_z
Zn1 Zn 0.000 0.000 0.000
In1 In 0.250 0.250 0.750
Mo1 Mo 0.000 0.000 0.500
Mo2 Mo 0.250 0.250 0.250

=====

(14)
# HfFeNiB (GGA-PBE, optimized geometry)
# spin magnetization = 0.23 μB per atom
# energy above the lowest structure with this stoichiometry = 46 meV per atom
# final energy = -120.5 eV/cell
data_HfFeNiB
_symmetry_space_group_name_H-M 'F -4 3 m'
_symmetry_Int_Tables_number 216
_symmetry_space_group_name_Hall 'F -4 2 3'
_cell_length_a 5.749
_cell_length_b 5.749
_cell_length_c 5.749
_cell_angle_alpha 90.00
_cell_angle_beta 90.00
_cell_angle_gamma 90.00
loop_
_atom_site_label
_atom_site_type_symbol
_atom_site_fract_x
_atom_site_fract_y
_atom_site_fract_z
Hf1 Hf 0.000 0.000 0.000
Fe1 Fe 0.250 0.250 0.750
Ni1 Ni 0.250 0.250 0.250
B1 B 0.000 0.000 0.500

=====

(15)
# K2Er3Cd3 (GGA-PBE, optimized geometry)
# spin magnetization = 0.00 μB per atom
# final energy = -48.8 eV/cell
data_K2Er3Cd3
_symmetry_space_group_name_H-M 'R -3 m'
_symmetry_Int_Tables_number 166
_symmetry_space_group_name_Hall '-R 3 2"'
_cell_length_a 6.2452
_cell_length_b 6.2452
_cell_length_c 23.3005
_cell_angle_alpha 90.00
_cell_angle_beta 90.00
_cell_angle_gamma 120.00
loop_
_atom_site_label
_atom_site_type_symbol
_atom_site_fract_x
_atom_site_fract_y
_atom_site_fract_z
K1 K 0.0000 0.0000 0.1959
Er1 Er 0.0000 0.5000 0.0000
Cd1 Cd 0.0000 0.0000 0.0597
Cd2 Cd 0.0000 0.0000 0.5000

=====

(16)
# InSiAuSeS2 (GGA-PBE, optimized geometry)
# final energy = -98.3 eV/cell
data_InSiAuSeS2
_symmetry_space_group_name_H-M 'C m c m'
_symmetry_Int_Tables_number 63
_symmetry_space_group_name_Hall '-C 2c 2'
_cell_length_a 3.436
_cell_length_b 15.220
_cell_length_c 9.910
_cell_angle_alpha 90.00
_cell_angle_beta 90.00
_cell_angle_gamma 90.00
loop_
_atom_site_label
_atom_site_type_symbol
_atom_site_fract_x
_atom_site_fract_y
_atom_site_fract_z
In1 In 0.000 0.180 0.250
Si1 Si 0.000 0.500 0.000
Au1 Au 0.000 0.177 0.750
Se1 Se 0.000 0.461 0.750
S1 S 0.000 0.104 0.527

=====

(17)
# Pr2GaSi (GGA-PBE, optimized geometry)
# spin magnetization = 0.11 μB per atom
# final energy = -41.5 eV/cell
data_Pr2GaSi
_symmetry_space_group_name_H-M 'A m m 2'
_symmetry_Int_Tables_number 38
_cell_length_a 4.081
_cell_length_b 4.489
_cell_length_c 11.295
_cell_angle_alpha 90.00
_cell_angle_beta 90.00
_cell_angle_gamma 90.00
loop_
_symmetry_equiv_pos_as_xyz
'x,y,z'
'-x,-y,z'
'-x,y,z'
'x,-y,z'
'x,y+1/2,z+1/2'
'-x,-y+1/2,z+1/2'
'-x,y+1/2,z+1/2'
'x,-y+1/2,z+1/2'
loop_
_atom_site_label
_atom_site_type_symbol
_atom_site_fract_x
_atom_site_fract_y
_atom_site_fract_z
Pr1 Pr 0.000 0.000 0.000
Pr2 Pr 0.500 0.000 0.283
Ga1 Ga 0.500 0.000 0.571
Si1 Si 0.000 0.000 0.712

=====

(18)
# Na2Zn2Ga2IrPd (GGA-PBE, optimized geometry)
# spin magnetization = 0.00 μB per atom
# final energy = -26.6 eV/cell
data_Na2Zn2Ga2IrPd
_symmetry_space_group_name_H-M 'P -4 m 2'
_symmetry_Int_Tables_number 115
_cell_length_a 4.491
_cell_length_b 4.491
_cell_length_c 6.300
_cell_angle_alpha 90.00
_cell_angle_beta 90.00
_cell_angle_gamma 90.00
loop_
_symmetry_equiv_pos_as_xyz
'x,y,z'
'y,-x,-z'
'-x,-y,z'
'-y,x,-z'
'-x,y,z'
'-y,-x,-z'
'x,-y,z'
'y,x,-z'
loop_
_atom_site_label
_atom_site_type_symbol
_atom_site_fract_x
_atom_site_fract_y
_atom_site_fract_z
Na1 Na 0.000 0.000 0.000
Na2 Na 0.500 0.500 0.500
Zn1 Zn 0.000 0.500 0.745
Ga1 Ga 0.000 0.500 0.260
Ir1 Ir 0.000 0.000 0.500
Pd1 Pd 0.500 0.500 0.000

=====

(19)
# La2PrB2Ir2N3 (GGA-PBE, optimized geometry)
# spin magnetization = 0.00 μB per atom
# final energy = -164.3 eV/cell
data_La2PrB2Ir2N3
_symmetry_space_group_name_H-M 'I 4/m m m'
_symmetry_Int_Tables_number 139
_symmetry_space_group_name_Hall '-I 4 2'
_cell_length_a 3.833
_cell_length_b 3.833
_cell_length_c 20.413
_cell_angle_alpha 90.00
_cell_angle_beta 90.00
_cell_angle_gamma 90.00
loop_
_atom_site_label
_atom_site_type_symbol
_atom_site_fract_x
_atom_site_fract_y
_atom_site_fract_z
La1 La 0.000 0.000 0.125
Pr1 Pr 0.000 0.000 0.500
B1 B 0.000 0.000 0.306
Ir1 Ir 0.000 0.500 0.250
N1 N 0.000 0.000 0.000
N2 N 0.000 0.000 0.378

=====

(20)
# NdHgSO (GGA-PBE, optimized geometry)
# spin magnetization = 0.00 μB per atom
# energy above the lowest structure with this stoichiometry = 0 meV per atom
# final energy = -85.5 eV/cell
data_NdHgSO
_symmetry_space_group_name_H-M 'P 1 21 1'
_symmetry_Int_Tables_number 4
_cell_length_a 5.797
_cell_length_b 5.813
_cell_length_c 11.340
_cell_angle_alpha 90.00
_cell_angle_beta 90.21
_cell_angle_gamma 90.00
loop_
_symmetry_equiv_pos_as_xyz
'x,y,z'
'-x,y+1/2,-z'
loop_
_atom_site_label
_atom_site_type_symbol
_atom_site_fract_x
_atom_site_fract_y
_atom_site_fract_z
Nd1 Nd 0.000 0.000 0.103
Nd2 Nd 0.499 0.000 0.899
Hg1 Hg 0.002 0.500 0.324
Hg2 Hg 0.315 0.757 0.498
S1 S 0.289 0.286 0.712
S2 S 0.291 0.214 0.288
O1 O 0.247 0.250 0.000
O2 O 0.250 0.750 0.000